Entry from Alexandria via LeMat-Bulk: a relaxed structure of K2PtAu3 (PBE-GGA).

Values from the calculation:
Energy of formation from the pure elements (eV/atom): -0.28
ρ (g/cm³): 10.7

a b c (Å): 5.8166 5.8166 5.6926
angles (deg): 89.71 120.76 120.30
Atoms (fractional coordinates):
1 Au 0.5000 0.0000 0.5000
2 Au 0.5000 0.5000 0.5000
3 Au 0.0000 0.0000 0.5000
4 K 0.2517 0.6258 0.8775
5 K 0.7483 0.3742 0.1225
6 Pt 0.0000 0.0000 0.0000